Entry from Alexandria: an optimized crystal structure of AlAsAu2 (PBE-GGA).

Unit cell a=9.033 b=9.033 c=9.033 alpha=152.41 beta=152.41 gamma=39.41
Atoms (fractional coordinates):
Al1 0.000 0.000 0.000
Al2 0.750 0.250 0.500
As1 0.250 0.750 0.500
As2 0.500 0.500 0.000
Au1 0.113 0.625 0.988
Au2 0.375 0.363 0.488
Au3 0.637 0.125 0.012
Au4 0.875 0.887 0.512

## Properties
ΔH_f (0 K), eV per atom: -0.055
Symmetry: I-42d, No. 122
Crystal system: tetragonal
Energy relative to the lowest polymorph listed for this composition, meV per atom: 37
Total magnetization, μB/f.u.: 0.0
Theoretical density, g/cm3: 10.4

Entry from Alexandria: an optimized crystal structure of Al2AsAu (PBE-GGA).

Unit cell a=4.946 b=5.334 c=5.334 alpha=30.71 beta=90.00 gamma=90.00
Atoms (fractional coordinates):
Al1 0.000 0.000 0.000
Al2 0.500 0.247 0.247
As1 0.000 0.744 0.744
Au1 0.500 0.507 0.507

## Properties
ΔH_f (0 K), eV per atom: -0.076
Symmetry: Amm2, No. 38
Crystal system: orthorhombic
Total magnetization, μB/f.u.: 0.0
Theoretical density, g/cm3: 7.5

Entry from Alexandria: an optimized crystal structure of AlAsAu2 (PBE-GGA).

Unit cell a=7.175 b=7.175 c=7.175 alpha=29.12 beta=29.12 gamma=29.12
Atoms (fractional coordinates):
Al1 0.000 0.000 0.000
As1 0.752 0.752 0.752
Au1 0.259 0.259 0.259
Au2 0.497 0.497 0.497

## Properties
ΔH_f (0 K), eV per atom: -0.049
Symmetry: R3m, No. 160
Crystal system: trigonal
Energy relative to the lowest polymorph listed for this composition, meV per atom: 43
Total magnetization, μB/f.u.: 0.0
Theoretical density, g/cm3: 10.6

Entry from Alexandria: an optimized crystal structure of Al2AsAu (PBE-GGA).

Unit cell a=4.445 b=4.445 c=3.598 alpha=90.00 beta=90.00 gamma=90.00
Atoms (fractional coordinates):
Al1 0.000 0.500 0.000
Al2 0.500 0.000 0.000
As1 0.000 0.000 0.500
Au1 0.500 0.500 0.500

## Properties
ΔH_f (0 K), eV per atom: 0.012
Symmetry: P4/mmm, No. 123
Crystal system: tetragonal
Total magnetization, μB/f.u.: 0.0
Theoretical density, g/cm3: 7.6

Entry from Alexandria: an optimized crystal structure of Al2AsAu (PBE-GGA).

Unit cell a=6.481 b=6.481 c=6.481 alpha=122.32 beta=122.32 gamma=86.03
Atoms (fractional coordinates):
Al1 0.117 0.625 0.992
Al2 0.375 0.367 0.492
Al3 0.633 0.125 0.008
Al4 0.875 0.883 0.508
As1 0.000 0.000 0.000
As2 0.750 0.250 0.500
Au1 0.250 0.750 0.500
Au2 0.500 0.500 0.000

## Properties
ΔH_f (0 K), eV per atom: -0.146
Symmetry: I-42d, No. 122
Crystal system: tetragonal
Total magnetization, μB/f.u.: 0.0
Theoretical density, g/cm3: 5.8

Entry from Alexandria: an optimized crystal structure of Al2AsAu (PBE-GGA).

Unit cell a=9.260 b=9.260 c=9.260 alpha=18.78 beta=18.78 gamma=18.78
Atoms (fractional coordinates):
Al1 0.000 0.000 0.000
Al2 0.255 0.255 0.255
As1 0.511 0.511 0.511
Au1 0.740 0.740 0.740

## Properties
ΔH_f (0 K), eV per atom: -0.002
Symmetry: R3m, No. 160
Crystal system: trigonal
Total magnetization, μB/f.u.: 0.0
Theoretical density, g/cm3: 7.5

Entry from Alexandria: an optimized crystal structure of Al2AsAu2 (PBE-GGA).

Unit cell a=7.617 b=7.617 c=3.070 alpha=90.00 beta=90.00 gamma=90.00
Atoms (fractional coordinates):
Al1 0.161 0.339 0.000
Al2 0.339 0.839 0.000
Al3 0.661 0.161 0.000
Al4 0.839 0.661 0.000
As1 0.000 0.000 0.500
As2 0.500 0.500 0.500
Au1 0.137 0.637 0.500
Au2 0.363 0.137 0.500
Au3 0.637 0.863 0.500
Au4 0.863 0.363 0.500

## Properties
ΔH_f (0 K), eV per atom: -0.121
Symmetry: P4/mbm, No. 127
Crystal system: tetragonal
Energy relative to the lowest polymorph listed for this composition, meV per atom: 0
Total magnetization, μB/f.u.: 0.0
Theoretical density, g/cm3: 9.8

Entry from Alexandria: an optimized crystal structure of AlAsAu2 (PBE-GGA).

Unit cell a=5.447 b=5.447 c=4.326 alpha=95.04 beta=95.04 gamma=35.85
Atoms (fractional coordinates):
Al1 0.000 0.000 0.000
As1 0.251 0.251 0.203
Au1 0.492 0.492 0.497
Au2 0.760 0.760 0.712

## Properties
ΔH_f (0 K), eV per atom: -0.041
Symmetry: Cm, No. 8
Crystal system: monoclinic
Energy relative to the lowest polymorph listed for this composition, meV per atom: 51
Total magnetization, μB/f.u.: 0.0
Theoretical density, g/cm3: 11.0

In eV per atom, the energy values for the records above are, in order, -3.79, -3.93, -3.79, -3.84, -4.00, -3.86, -3.86, -3.78.